Entry 1:
This record from Alexandria via LeMat-Bulk describes a relaxed ZrCuCl2 crystal. The functional is PBE-GGA.

## Properties
- Total DFT energy (no corrections): -18.042 eV per cell
- E above lowest polymorph: 0.411 eV per atom
- Size of the total moment: 0.0 μB/f.u.
- D(E_F): 2.35 states/eV per cell

a b c (Å): 3.3585 3.3585 10.5337
angles (deg): 90.00 90.00 124.08
Fractional coordinates of all 4 atoms:
Cl: 0.0000 0.0000 0.9414
Zr: 0.5000 0.5000 0.7500
Cl: 0.0000 0.0000 0.5586
Cu: 0.5000 0.5000 0.2500

---

Entry 2:
This record from Alexandria via LeMat-Bulk describes a relaxed LiTbSi2Pd4 crystal. The functional is PBE-GGA.

## Properties
- Total DFT energy (no corrections): -44.141 eV per cell
- Size of the total moment: 0.0 μB/f.u.
- D(E_F): 5.02 states/eV per cell

a b c (Å): 4.1851 4.1851 8.7335
angles (deg): 76.14 76.14 60.00
Fractional coordinates of all 8 atoms:
Si: 0.7622 0.7622 0.7134
Pd: 0.8664 0.8664 0.4008
Tb: 0.0000 0.0000 0.0000
Pd: 0.4037 0.4037 0.7888
Pd: 0.5963 0.5963 0.2112
Si: 0.2378 0.2378 0.2866
Li: 0.5000 0.5000 0.5000
Pd: 0.1336 0.1336 0.5992

---

Entry 3:
This record from Alexandria via LeMat-Bulk describes a relaxed Ac2CdRhO6 crystal. The functional is PBE-GGA.

## Properties
- Total DFT energy (no corrections): -135.092 eV per cell
- Size of the total moment: 1.1 μB/f.u.
- D(E_F): 13.89 states/eV per cell

a b c (Å): 5.8024 6.0961 8.2797
angles (deg): 90.00 90.26 90.00
Last column: magnetic moment on the atom in μB.
Fractional coordinates of all 20 atoms:
Ac: 0.4853 0.4402 0.2496  0.01
O: 0.6789 0.2820 0.5564  0.06
Ac: 0.5147 0.5598 0.7504  0.01
O: 0.2874 0.6847 0.0478  0.06
O: 0.1789 0.2180 0.0564  0.06
O: 0.2126 0.1847 0.4522  0.06
Ac: 0.9853 0.0598 0.7496  0.01
Cd: 0.0000 0.5000 0.5000  0.00
O: 0.7874 0.8153 0.5478  0.06
O: 0.8211 0.7820 0.9436  0.06
O: 0.4009 0.9635 0.7345  0.06
O: 0.7126 0.3153 0.9522  0.06
Rh: 0.0000 0.5000 0.0000  0.60
Ac: 0.0147 0.9402 0.2504  0.01
O: 0.3211 0.7180 0.4436  0.06
Rh: 0.5000 0.0000 0.5000  0.60
Cd: 0.5000 0.0000 0.0000  0.00
O: 0.9009 0.5365 0.2345  0.06
O: 0.5991 0.0365 0.2655  0.06
O: 0.0991 0.4635 0.7655  0.06